A plane-wave DFT calculation with PBE-GGA was carried out for crystalline NbHgS2 at its relaxed geometry.

Lattice parameters (Å, degrees): 3.7921 3.7921 5.5030 90.00 90.00 90.00
Space group P4/mmm (No. 123)
Unique sites:
Nb  0.0000  0.0000  0.0000 [1 per cell]
Hg  0.5000  0.5000  0.5000 [1 per cell]
S  0.0000  0.0000  0.5000 [1 per cell]
S  0.5000  0.5000  0.0000 [1 per cell]

Output
Raw formation energy in eV per atom: -0.037
Volume in Å³ per atom: 19.783
Total moment in Bohr magnetons per cell: 2.13
DOS at the Fermi energy in states/eV/atom: 0.6396